1.
Below is Ca2ZnIn after structural relaxation, with properties calculated at the PBEsol level.

abc: 3.5573 5.2726 6.3389
angles: 114.58 106.30 90.00
Closest atoms and distances in Å follow each position.
Sites, in units of the cell vectors:
Ca 0.7651 0.2651 0.5302  4 Zn 3.20, 4 Ca 3.44-3.56, 2 In 3.47
Zn 0.2317 0.7317 0.4633  2 In 2.78
Ca 0.9664 0.9664 0.9328  2 Zn 3.13, 4 In 3.27, 2 Ca 3.44
In 0.5368 0.5368 0.0737  2 Zn 2.78

Calculated values
Formation energy from the elements: -0.30 eV per atom

***

2.
Below is BiSb2TeI after structural relaxation, with properties calculated at the PBEsol level.

abc: 5.6342 5.7021 5.7021
angles: 90.00 90.00 90.00
Closest atoms and distances in Å follow each position.
Sites, in units of the cell vectors:
Sb 0.0000 0.5000 0.0000  2 Te 2.85
Te 0.0000 0.0000 0.0000  2 I 2.82, 4 Sb 2.85
I 0.5000 0.0000 0.0000  2 Te 2.82
Bi 0.5000 0.5000 0.5000  8 Sb 4.01, 4 I 4.03
Sb 0.0000 0.0000 0.5000  2 Te 2.85

Calculated values
Energy relative to the elements, uncorrected: 68.1 kJ/mol of atoms

***

3.
Below is KLiCd after structural relaxation, with properties calculated at the PBEsol level.

abc: 3.5389 4.0977 6.7993
angles: 107.54 105.08 90.00
Closest atoms and distances in Å follow each position.
Sites, in units of the cell vectors:
Li 0.6120 0.6120 0.2240  4 Cd 2.82
K 0.3400 0.3400 0.6800  1 Li 3.39, 2 K 3.54, 5 Cd 3.64-3.75
Cd 0.0480 0.0480 0.0960  4 Li 2.82

Calculated values
Formation energy from the elements: 0.00 eV per atom

***

4.
Below is HfAlBTe2 after structural relaxation, with properties calculated at the PBEsol level.

abc: 3.8940 5.3249 5.3249
angles: 90.00 90.00 90.00
Closest atoms and distances in Å follow each position.
Sites, in units of the cell vectors:
B 0.5000 0.0000 0.0000  2 Al 1.95
Te 0.0000 0.0000 0.5000  2 Al 2.66
Hf 0.5000 0.5000 0.5000  8 Te 3.30
Al 0.0000 0.0000 0.0000  2 B 1.95
Te 0.0000 0.5000 0.0000  2 Al 2.66

Calculated values
Energy relative to the elements, uncorrected: 64.6 kJ/mol of atoms

***

Table of total energy (eV for the cell shown), in record order: -10.02, -15.16, -4.30, -25.31